An optimized crystal structure of Ca3Mn3N5. Source: Alexandria via LeMat-Bulk, functional PBEsol.

abc: 5.453 6.676 8.217
angles: 108.00 103.86 94.96
Atoms (fractional coordinates):
Ca  0.155  0.168  0.201
Ca  0.160  0.370  0.880
Ca  0.322  0.920  0.618
Ca  0.678  0.080  0.382
Ca  0.840  0.630  0.120
Ca  0.845  0.832  0.799
Mn  0.190  0.448  0.566
Mn  0.397  0.615  0.302
Mn  0.407  0.822  0.973
Mn  0.593  0.178  0.027
Mn  0.603  0.385  0.698
Mn  0.810  0.552  0.434
N  0.124  0.564  0.384
N  0.251  0.040  0.913
N  0.313  0.723  0.128
N  0.335  0.211  0.508
N  0.434  0.618  0.775
N  0.566  0.382  0.225
N  0.665  0.789  0.492
N  0.687  0.277  0.872
N  0.749  0.960  0.087
N  0.876  0.436  0.616

Results
Formation energy without anion corrections, eV/atom: -0.86
V, Å³/cell: 272.05